[1]
{"formula": "Ba6Tl2Br", "functional": "PBE", "state": "optimized geometry", "formation_energy_uncorrected_ev_per_atom": -0.55, "dos_ef_per_ev_atom": 1.0857, "lattice_angstrom": [[8.078, 0.000, -0.048], [0.000, 9.078, 0.000], [0.315, 0.000, 12.183]], "species": ["Ba", "Ba", "Ba", "Ba", "Ba", "Ba", "Ba", "Ba", "Ba", "Ba", "Ba", "Ba", "Tl", "Tl", "Tl", "Tl", "Br", "Br"], "frac_coords": [[0.136, 0.042, 0.241], [0.180, 0.326, 0.569], [0.167, 0.309, 0.928], [0.333, 0.809, 0.572], [0.320, 0.826, 0.931], [0.364, 0.542, 0.259], [0.864, 0.958, 0.759], [0.820, 0.674, 0.431], [0.833, 0.691, 0.072], [0.667, 0.191, 0.428], [0.680, 0.174, 0.069], [0.636, 0.458, 0.741], [0.044, 0.601, 0.756], [0.456, 0.101, 0.744], [0.544, 0.899, 0.256], [0.956, 0.399, 0.244], [0.500, 0.500, 0.000], [0.000, 0.000, 0.500]]}


[2]
{"formula": "BaTlBr", "functional": "PBE", "state": "optimized geometry", "formation_energy_uncorrected_ev_per_atom": -0.87, "de_polymorph_ev_per_atom": 0.317, "dos_ef_per_ev_atom": 0.7210, "lattice_angstrom": [[-4.434, -4.915, 3.463], [-0.413, -5.448, 5.091], [-1.273, 1.851, 3.749]], "species": ["Tl", "Ba", "Br"], "frac_coords": [[0.634, 0.635, 0.366], [0.981, 0.981, 0.019], [0.385, 0.384, 0.615]]}